{"formula": "Hf4Co4Si7", "functional": "PBE", "state": "relaxed", "total_magnetization_mub_per_cell": 0.000, "formation_energy_uncorrected_ev_per_atom": -0.793, "lattice": [[9.441, -0.005, 0.000], [-8.094, 4.861, 0.000], [-0.674, -2.428, 9.099]], "species": ["Hf", "Hf", "Hf", "Hf", "Hf", "Hf", "Hf", "Hf", "Co", "Co", "Co", "Co", "Co", "Co", "Co", "Co", "Si", "Si", "Si", "Si", "Si", "Si", "Si", "Si", "Si", "Si", "Si", "Si", "Si", "Si"], "frac_coords": [[0.138, 0.138, 0.275], [0.862, 0.862, 0.725], [0.138, 0.862, 0.000], [0.862, 0.138, 0.000], [0.303, 0.500, 0.803], [0.697, 0.500, 0.197], [0.500, 0.697, 0.197], [0.500, 0.303, 0.803], [0.102, 0.602, 0.204], [0.398, 0.898, 0.796], [0.898, 0.102, 0.500], [0.602, 0.398, 0.500], [0.602, 0.102, 0.204], [0.898, 0.398, 0.796], [0.102, 0.898, 0.500], [0.398, 0.602, 0.500], [0.290, 0.290, 0.580], [0.710, 0.710, 0.420], [0.290, 0.710, 0.000], [0.710, 0.290, 0.000], [0.092, 0.500, 0.592], [0.908, 0.500, 0.408], [0.500, 0.908, 0.408], [0.500, 0.092, 0.592], [0.251, 0.251, 0.000], [0.749, 0.749, 0.000], [0.301, 0.000, 0.301], [0.699, 0.000, 0.699], [0.000, 0.699, 0.699], [0.000, 0.301, 0.301]]}